# 1
A plane-wave DFT calculation with PBE was carried out for a relaxed structure of LiThAgHg.

Computed properties:
* calculated total energy: -13.2 eV/f.u.
* space group: F-43m (216)
* calculated volume: 23.5 Å³/atom
* calculated formation energy: -0.17 eV/atom
* total moment: 0.000 μB per atom

Geometry as POSCAR:
```
LiThAgHg
1.0
0.000 3.607 3.607
3.607 0.000 3.607
3.607 3.607 0.000
Li Th Ag Hg
1 1 1 1
direct
0.000 0.000 0.000 Li
0.500 0.500 0.500 Th
0.750 0.750 0.750 Ag
0.250 0.250 0.250 Hg
```

---

# 2
A plane-wave DFT calculation with PBE was carried out for a relaxed structure of Li2ThAgHg4.

Computed properties:
* calculated total energy: -17.0 eV/f.u.
* space group: R-3m (166)
* calculated volume: 22.0 Å³/atom
* calculated formation energy: -0.21 eV/atom
* total moment: 0.000 μB per atom

Geometry as POSCAR:
```
Li2ThAgHg4
1.0
2.358 1.361 9.149
-2.358 1.361 9.149
0.000 -2.723 9.149
Li Th Ag Hg
2 1 1 4
direct
0.231 0.231 0.231 Li
0.769 0.769 0.769 Li
0.000 0.000 0.000 Th
0.500 0.500 0.500 Ag
0.123 0.123 0.123 Hg
0.392 0.392 0.392 Hg
0.608 0.608 0.608 Hg
0.877 0.877 0.877 Hg
```

---

# 3
A plane-wave DFT calculation with PBE was carried out for a relaxed structure of Li2ThAg2Hg2.

Computed properties:
* calculated total energy: -18.9 eV/f.u.
* space group: C2/m (12)
* calculated volume: 21.1 Å³/atom
* calculated formation energy: -0.19 eV/atom
* total moment: 0.000 μB per atom

Geometry as POSCAR:
```
Li2ThAg2Hg2
1.0
4.838 -1.959 0.000
4.838 1.959 0.000
-0.554 0.000 7.786
Li Th Ag Hg
2 1 2 2
direct
0.139 0.139 0.440 Li
0.861 0.861 0.560 Li
0.000 0.000 0.000 Th
0.438 0.438 0.324 Ag
0.562 0.562 0.676 Ag
0.276 0.276 0.797 Hg
0.724 0.724 0.203 Hg
```

---

# 4
A plane-wave DFT calculation with PBE was carried out for a relaxed structure of LiTiAg2Hg.

Computed properties:
* calculated total energy: -12.5 eV/f.u.
* space group: P4/mmm (123)
* calculated volume: 28.0 Å³/atom
* calculated formation energy: 0.66 eV/atom
* total moment: 0.331 μB per atom

Geometry as POSCAR:
```
LiTiAg2Hg
1.0
5.132 0.000 0.000
0.000 5.132 0.000
0.000 0.000 5.323
Li Ti Ag Hg
1 1 2 1
direct
0.000 0.000 0.000 Li
0.500 0.500 0.500 Ti
0.000 0.500 0.500 Ag
0.500 0.000 0.500 Ag
0.500 0.500 0.000 Hg
```

---

# 5
A plane-wave DFT calculation with PBE was carried out for a relaxed structure of LiTiAgHg.

Computed properties:
* calculated total energy: -13.2 eV/f.u.
* space group: F-43m (216)
* calculated volume: 17.4 Å³/atom
* calculated formation energy: -0.06 eV/atom
* total moment: 0.000 μB per atom

Geometry as POSCAR:
```
LiTiAgHg
1.0
0.000 3.263 3.263
3.263 0.000 3.263
3.263 3.263 0.000
Li Ti Ag Hg
1 1 1 1
direct
0.000 0.000 0.000 Li
0.500 0.500 0.500 Ti
0.750 0.750 0.750 Ag
0.250 0.250 0.250 Hg
```

---

# 6
A plane-wave DFT calculation with PBE was carried out for a relaxed structure of LiTlAgHg.

Computed properties:
* relative energy among the computed polymorphs: 0 meV per atom
* calculated total energy: -7.9 eV/f.u.
* space group: P4mm (99)
* calculated volume: 21.4 Å³/atom
* calculated formation energy: -0.13 eV/atom
* total moment: 0.000 μB per atom

Geometry as POSCAR:
```
LiTlAgHg
1.0
3.611 0.000 0.000
0.000 3.611 0.000
0.000 0.000 6.567
Li Tl Ag Hg
1 1 1 1
direct
0.000 0.000 0.000 Li
0.000 0.000 0.524 Tl
0.500 0.500 0.781 Ag
0.500 0.500 0.215 Hg
```

---

# 7
A plane-wave DFT calculation with PBE was carried out for a relaxed structure of LiTlAgHg.

Computed properties:
* relative energy among the computed polymorphs: 2 meV per atom
* calculated total energy: -7.9 eV/f.u.
* space group: F-43m (216)
* calculated volume: 21.1 Å³/atom
* calculated formation energy: -0.13 eV/atom
* total moment: 0.000 μB per atom

Geometry as POSCAR:
```
LiTlAgHg
1.0
0.000 3.480 3.480
3.480 0.000 3.480
3.480 3.480 0.000
Li Tl Ag Hg
1 1 1 1
direct
0.000 0.000 0.000 Li
0.250 0.250 0.250 Tl
0.500 0.500 0.500 Ag
0.750 0.750 0.750 Hg
```

---

# 8
A plane-wave DFT calculation with PBE was carried out for a relaxed structure of Li5Tl2Ag2Hg.

Computed properties:
* calculated total energy: -22.1 eV/f.u.
* space group: P4/mbm (127)
* calculated volume: 19.4 Å³/atom
* calculated formation energy: -0.18 eV/atom
* total moment: 0.000 μB per atom

Geometry as POSCAR:
```
Li5Tl2Ag2Hg
1.0
10.511 0.000 0.000
0.000 10.511 0.000
0.000 0.000 3.517
Li Tl Ag Hg
10 4 4 2
direct
0.000 0.500 0.000 Li
0.060 0.196 0.000 Li
0.196 0.940 0.000 Li
0.304 0.440 0.000 Li
0.440 0.696 0.000 Li
0.500 0.000 0.000 Li
0.560 0.304 0.000 Li
0.696 0.560 0.000 Li
0.804 0.060 0.000 Li
0.940 0.804 0.000 Li
0.170 0.670 0.500 Tl
0.330 0.170 0.500 Tl
0.670 0.830 0.500 Tl
0.830 0.330 0.500 Tl
0.131 0.369 0.500 Ag
0.369 0.869 0.500 Ag
0.631 0.131 0.500 Ag
0.869 0.631 0.500 Ag
0.000 0.000 0.500 Hg
0.500 0.500 0.500 Hg
```

---

# 9
A plane-wave DFT calculation with PBE was carried out for a relaxed structure of LiTm2AgHg4.

Computed properties:
* calculated total energy: -17.9 eV/f.u.
* space group: R-3m (166)
* calculated volume: 21.8 Å³/atom
* calculated formation energy: -0.37 eV/atom
* total moment: 0.000 μB per atom

Geometry as POSCAR:
```
LiTm2AgHg4
1.0
2.489 1.437 8.111
-2.489 1.437 8.111
0.000 -2.874 8.111
Li Tm Ag Hg
1 2 1 4
direct
0.000 0.000 0.000 Li
0.247 0.247 0.247 Tm
0.753 0.753 0.753 Tm
0.500 0.500 0.500 Ag
0.121 0.121 0.121 Hg
0.371 0.371 0.371 Hg
0.629 0.629 0.629 Hg
0.879 0.879 0.879 Hg
```

---

# 10
A plane-wave DFT calculation with PBE was carried out for a relaxed structure of LiTmAgHg.

Computed properties:
* calculated total energy: -10.8 eV/f.u.
* space group: I-4m2 (119)
* calculated volume: 20.9 Å³/atom
* calculated formation energy: -0.31 eV/atom
* total moment: 0.000 μB per atom

Geometry as POSCAR:
```
LiTmAgHg
1.0
-2.314 2.314 3.911
2.314 -2.314 3.911
2.314 2.314 -3.911
Li Tm Ag Hg
1 1 1 1
direct
0.000 0.000 0.000 Li
0.500 0.500 0.000 Tm
0.750 0.250 0.500 Ag
0.250 0.750 0.500 Hg
```

---

# 11
A plane-wave DFT calculation with PBE was carried out for a relaxed structure of LiTmAgHg.

Computed properties:
* calculated total energy: -10.8 eV/f.u.
* space group: F-43m (216)
* calculated volume: 21.0 Å³/atom
* calculated formation energy: -0.31 eV/atom
* total moment: 0.000 μB per atom

Geometry as POSCAR:
```
LiTmAgHg
1.0
0.000 3.478 3.478
3.478 0.000 3.478
3.478 3.478 0.000
Li Tm Ag Hg
1 1 1 1
direct
0.000 0.000 0.000 Li
0.500 0.500 0.500 Tm
0.250 0.250 0.250 Ag
0.750 0.750 0.750 Hg
```

---

# 12
A plane-wave DFT calculation with PBE was carried out for a relaxed structure of Li3Zn2Ag3Hg.

Computed properties:
* calculated total energy: -18.9 eV/f.u.
* space group: P-62m (189)
* calculated volume: 16.6 Å³/atom
* calculated formation energy: -0.20 eV/atom
* total moment: 0.000 μB per atom

Geometry as POSCAR:
```
Li3Zn2Ag3Hg
1.0
7.722 0.000 0.000
-3.861 6.687 0.000
0.000 0.000 2.894
Li Zn Ag Hg
3 2 3 1
direct
0.000 0.302 0.000 Li
0.302 0.000 0.000 Li
0.698 0.698 0.000 Li
0.333 0.667 0.000 Zn
0.667 0.333 0.000 Zn
0.000 0.617 0.500 Ag
0.383 0.383 0.500 Ag
0.617 0.000 0.500 Ag
0.000 0.000 0.500 Hg
```